1.
Tm6BiO12 (PBE, optimized geometry); magnetic moment = 1.1 Bohr magnetons per cell; formation energy without anion corrections = -3.056 eV per atom; crystal system = trigonal
1.0
6.4198 -0.3493 -0.7258
-0.7722 6.3827 -0.7258
-0.3269 -0.3493 6.4524
Tm Bi O
6 1 12
Direct
0.1410 0.3084 0.6087
0.6916 0.3913 0.8590
0.3913 0.8590 0.6916
0.8590 0.6916 0.3913
0.3084 0.6087 0.1410
0.6087 0.1410 0.3084
0.0000 0.0000 0.0000
0.4321 0.1786 0.5832
0.1786 0.5832 0.4321
0.5832 0.4321 0.1786
0.5679 0.8214 0.4168
0.8214 0.4168 0.5679
0.4168 0.5679 0.8214
0.0532 0.9270 0.6813
0.3187 0.9468 0.0730
0.0730 0.3187 0.9468
0.9468 0.0730 0.3187
0.6813 0.0532 0.9270
0.9270 0.6813 0.0532

=====

2.
Tm4Bi3O (PBE, optimized geometry); magnetic moment = 0.0 Bohr magnetons per cell; formation energy without anion corrections = -1.140 eV per atom; crystal system = orthorhombic
1.0
6.2202 0.0000 0.0000
0.0000 6.2265 0.0000
0.0000 0.0000 11.9715
Tm Bi O
8 6 2
Direct
0.0645 0.8544 0.0000
0.6695 0.2491 0.0000
0.0558 0.2317 0.2445
0.5558 0.7683 0.2555
0.1695 0.7509 0.5000
0.5645 0.1456 0.5000
0.5558 0.7683 0.7445
0.0558 0.2317 0.7555
0.5643 0.7504 0.0000
0.0550 0.7328 0.2496
0.5550 0.2672 0.2504
0.0643 0.2496 0.5000
0.5550 0.2672 0.7496
0.0550 0.7328 0.7504
0.9954 0.1798 0.0000
0.4954 0.8202 0.5000

=====

These records have energy values of -7.80; -5.45 eV/atom, in the order they appear.